Material: MnMo2Os
Method: DFT, GGA-PBE
State: relaxed

It has space group R-3m (No. 166, hexagonal axes), with a = 2.7430 Å, b = 2.7430 Å, c = 27.3176 Å, α = 90.00°, β = 90.00° and γ = 120.00°. Symmetry generates all atoms from Mn at (0.0000, 0.0000, 0.0000), Mo at (0.0000, 0.0000, 0.2503) and Os at (0.0000, 0.0000, 0.5000).

For the density of states at the Fermi level, the calculation gives 3.77 states/eV/f.u. The value obtained for the polymorph energy (0 for the lowest one) is 157.3 meV per atom. The energy relative to the elements is 0.248 eV/atom.